1.
Density functional theory data (PBE-GGA) for a relaxed HfB2PtW crystal.

abc: 4.0370 5.3694 4.0370
angles: 90.00 90.00 90.00
With the nearest neighbours (Å) after each atom.
Positions (direct):
B: 0.0000 0.0000 0.5000  2 Pt 2.02
B: 0.5000 0.0000 0.0000  2 Pt 2.02
Hf: 0.0000 0.5000 0.0000  2 Pt 2.68, 4 W 2.85
W: 0.5000 0.5000 0.5000  4 Hf 2.85
Pt: 0.0000 0.0000 0.0000  4 B 2.02

Summary:
The total magnetization is 2.1 μB per cell. The formation energy comes out at 6.17 eV/f.u. The space group is No. 123. The energy is -7.2267 eV per atom.

***

2.
Density functional theory data (PBE-GGA) for a relaxed Y2HfBPt crystal.

abc: 5.5571 4.7628 5.5571
angles: 90.00 90.00 90.00
With the nearest neighbours (Å) after each atom.
Positions (direct):
Y: 0.0000 0.0000 0.5000  2 Hf 2.78
Y: 0.5000 0.0000 0.0000  2 Hf 2.78
B: 0.5000 0.5000 0.5000  8 Y 3.66, 4 Pt 3.93
Hf: 0.0000 0.0000 0.0000  2 Pt 2.38
Pt: 0.0000 0.5000 0.0000  2 Hf 2.38

Summary:
The total magnetization is 0.0 μB per cell. The formation energy comes out at 6.52 eV/f.u. The space group is No. 123. The energy is -5.8159 eV per atom.

***

3.
Density functional theory data (PBE-GGA) for a relaxed PuHf2B6 crystal.

abc: 3.6649 5.5069 5.5069
angles: 120.00 90.00 90.00
With the nearest neighbours (Å) after each atom.
Positions (direct):
Pu: 0.0000 0.0000 0.0000  12 B 2.60
Hf: 0.0000 0.3333 0.6667  12 B 2.59
Hf: 0.0000 0.6667 0.3333  12 B 2.59
B: 0.5000 0.3354 0.3354  3 B 1.81-1.85
B: 0.5000 0.6646 0.6646  3 B 1.81-1.85
B: 0.5000 0.0000 0.6646  3 B 1.81-1.85
B: 0.5000 0.6646 0.0000  3 B 1.81-1.85
B: 0.5000 0.3354 0.0000  3 B 1.81-1.85
B: 0.5000 0.0000 0.3354  3 B 1.81-1.85

Summary:
The total magnetization is 4.6 μB per cell. The formation energy comes out at -6.63 eV/f.u. The space group is No. 191. The energy is -8.9921 eV per atom.

***

4.
Density functional theory data (PBE-GGA) for a relaxed RbHfBS4 crystal.

abc: 5.8631 6.3390 8.9443
angles: 90.00 109.30 90.00
With the nearest neighbours (Å) after each atom.
Positions (direct):
Rb: 0.7254 0.7500 0.9397  8 S 3.25-3.56
Rb: 0.2746 0.2500 0.0603  8 S 3.25-3.56
Hf: 0.7739 0.7500 0.4518  6 S 2.52-2.66
Hf: 0.2261 0.2500 0.5482  6 S 2.52-2.66
B: 0.2187 0.7500 0.3459  4 S 1.92-1.96
B: 0.7813 0.2500 0.6541  4 S 1.92-1.96
S: 0.0001 0.4915 0.6887  1 B 1.96
S: 0.9999 0.9915 0.3113  1 B 1.96
S: 0.9999 0.5085 0.3113  1 B 1.96
S: 0.0001 0.0085 0.6887  1 B 1.96
S: 0.4046 0.7500 0.2048  1 B 1.92
S: 0.5954 0.2500 0.7952  1 B 1.92
S: 0.4295 0.7500 0.5616  1 B 1.92
S: 0.5705 0.2500 0.4384  1 B 1.92

Summary:
The total magnetization is 0.0 μB per cell. Its uncorrected formation energy is -1.12 eV/atom. The space group is No. 11. The energy is -5.9921 eV per atom.

***

5.
Density functional theory data (PBE-GGA) for a relaxed Rb2HfSiB crystal.

abc: 6.3115 4.3506 6.3115
angles: 90.00 90.00 90.00
With the nearest neighbours (Å) after each atom.
Positions (direct):
Si: 0.5000 0.5000 0.5000  8 Rb 3.83
B: 0.0000 0.0000 0.0000  2 Hf 2.18
Hf: 0.0000 0.5000 0.0000  2 B 2.18
Rb: 0.0000 0.0000 0.5000  2 B 3.16
Rb: 0.5000 0.0000 0.0000  2 B 3.16

Summary:
The total magnetization is 0.1 μB per cell. Its uncorrected formation energy is 1.29 eV/atom. The space group is No. 123. The relative energy among the computed polymorphs comes out at 0 meV/atom. The energy is -3.5121 eV per atom.

***

6.
Density functional theory data (PBE-GGA) for a relaxed Rb2HfSiB crystal.

abc: 7.3620 4.9837 7.3620
angles: 90.00 90.00 90.00
With the nearest neighbours (Å) after each atom.
Positions (direct):
Si: 0.0000 0.5000 0.0000  2 Hf 2.49
B: 0.5000 0.5000 0.5000  8 Rb 4.45
Hf: 0.0000 0.0000 0.0000  2 Si 2.49
Rb: 0.0000 0.0000 0.5000  2 Hf 3.68
Rb: 0.5000 0.0000 0.0000  2 Hf 3.68

Summary:
The total magnetization is 1.3 μB per cell. Its uncorrected formation energy is 1.78 eV/atom. The space group is No. 123. The relative energy among the computed polymorphs comes out at 499 meV/atom. The energy is -3.0131 eV per atom.

***

7.
Density functional theory data (PBE-GGA) for a relaxed RbHfTi2B crystal.

abc: 5.1060 4.7721 5.1060
angles: 90.00 90.00 90.00
With the nearest neighbours (Å) after each atom.
Positions (direct):
B: 0.0000 0.5000 0.0000  2 Hf 2.39
Hf: 0.0000 0.0000 0.0000  2 B 2.39, 4 Ti 2.55
Rb: 0.5000 0.5000 0.5000  8 Ti 3.49, 4 B 3.61
Ti: 0.0000 0.0000 0.5000  2 Hf 2.55
Ti: 0.5000 0.0000 0.0000  2 Hf 2.55

Summary:
The total magnetization is 1.1 μB per cell. The formation energy comes out at 7.42 eV/f.u. The space group is No. 123. The energy is -5.1942 eV per atom.

***

8.
Density functional theory data (PBE-GGA) for a relaxed Hf3ReB crystal.

abc: 4.4963 4.4963 4.4963
angles: 90.00 90.00 90.00
With the nearest neighbours (Å) after each atom.
Positions (direct):
Re: 0.5000 0.5000 0.5000  12 Hf 3.18
B: 0.0000 0.0000 0.0000  6 Hf 2.25
Hf: 0.0000 0.5000 0.0000  2 B 2.25
Hf: 0.0000 0.0000 0.5000  2 B 2.25
Hf: 0.5000 0.0000 0.0000  2 B 2.25

Summary:
The total magnetization is 0.0 μB per cell. The formation energy comes out at 0.30 eV/f.u. The space group is No. 221. The relative energy among the computed polymorphs comes out at 0 meV/atom. The energy is -9.7379 eV per atom.

***

9.
Density functional theory data (PBE-GGA) for a relaxed HfRe2B4 crystal.

abc: 4.0958 4.0958 6.3668
angles: 71.24 71.24 90.00
With the nearest neighbours (Å) after each atom.
Positions (direct):
Re: 0.6171 0.6171 0.7658  1 B 2.01
Re: 0.3829 0.3829 0.2342  1 B 2.01
B: 0.7943 0.7943 0.4113  1 Re 2.01
B: 0.2057 0.2057 0.5887  1 Re 2.01
B: 0.0000 0.5000 0.0000  2 Hf 2.05
B: 0.5000 0.0000 0.0000  2 Hf 2.05
Hf: 0.0000 0.0000 0.0000  4 B 2.05

Summary:
The total magnetization is 1.2 μB per cell. The formation energy comes out at 9.37 eV/f.u. The space group is No. 139. The energy is -7.4563 eV per atom.

***

10.
Density functional theory data (PBE-GGA) for a relaxed HfReB3 crystal.

abc: 4.1349 4.1349 4.1349
angles: 90.00 90.00 90.00
With the nearest neighbours (Å) after each atom.
Positions (direct):
Re: 0.5000 0.5000 0.5000  12 B 2.92
B: 0.0000 0.5000 0.0000  2 Hf 2.07
B: 0.0000 0.0000 0.5000  2 Hf 2.07
B: 0.5000 0.0000 0.0000  2 Hf 2.07
Hf: 0.0000 0.0000 0.0000  6 B 2.07

Summary:
The total magnetization is 1.7 μB per cell. The formation energy comes out at 11.01 eV/f.u. The space group is No. 221. The relative energy among the computed polymorphs comes out at 1663 meV/atom. The energy is -6.2851 eV per atom.

***

11.
Density functional theory data (PBE-GGA) for a relaxed HfReB2 crystal.

abc: 3.2960 3.1298 4.6706
angles: 90.00 110.66 90.00
With the nearest neighbours (Å) after each atom.
Positions (direct):
Hf: 0.4343 0.5000 0.4079  7 B 2.43-2.56
Re: 0.7230 0.0000 0.9847  6 B 2.34-2.38
B: 0.1411 0.5000 0.8214  2 B 1.83
B: 0.0325 0.0000 0.6039  2 B 1.83

Summary:
The total magnetization is 0.0 μB per cell. The formation energy comes out at -2.29 eV/f.u. The space group is No. 38. The relative energy among the computed polymorphs comes out at 0 meV/atom. The energy is -9.5117 eV per atom.

***

12.
Density functional theory data (PBE-GGA) for a relaxed HfReB2 crystal.

abc: 4.8724 4.8724 6.2668
angles: 67.12 67.12 90.00
With the nearest neighbours (Å) after each atom.
Positions (direct):
Re: 0.0000 0.0000 0.0000  4 B 2.02
Re: 0.7500 0.2500 0.5000  4 B 2.02
B: 0.6800 0.1250 0.2500  2 Re 2.02
B: 0.0700 0.6250 0.2500  2 Re 2.02
B: 0.3750 0.3200 0.7500  2 Re 2.02
B: 0.8750 0.9300 0.7500  2 Re 2.02
Hf: 0.5000 0.5000 0.0000  4 B 2.32
Hf: 0.2500 0.7500 0.5000  4 B 2.32

Summary:
The total magnetization is 0.0 μB per cell. The formation energy comes out at 1.82 eV/f.u. The space group is No. 122. The relative energy among the computed polymorphs comes out at 1028 meV/atom. The energy is -8.4840 eV per atom.